1.
PaAsIr, relaxed, DFT PBE-GGA; electronic total energy = -8.629 eV per atom; crystal system = trigonal; total moment = 0.0 μB per cell; symmetry = P3m1 (156); DOS at the Fermi energy = 1.79 states/eV/f.u.; calculated formation energy = -0.96 eV per atom
1.0
4.276 0.000 0.000
-2.138 3.703 0.000
0.000 0.000 3.739
Pa As Ir
1 1 1
direct
0.000 0.000 0.000
0.333 0.667 0.474
0.667 0.333 0.553



2.
Pa5As5Ir, relaxed, DFT PBE-GGA; electronic total energy = -8.050 eV per atom; crystal system = monoclinic; total moment = 0.0 μB per cell; symmetry = C2/m (12); DOS at the Fermi energy = 15.29 states/eV/f.u.; calculated formation energy = -0.81 eV per atom
1.0
6.511 -2.873 0.000
6.511 2.873 0.000
-2.555 0.000 7.681
Pa As Ir
5 5 1
direct
0.000 0.000 0.000
0.339 0.339 0.675
0.344 0.344 0.164
0.656 0.656 0.836
0.661 0.661 0.325
0.166 0.166 0.830
0.178 0.178 0.335
0.500 0.500 0.500
0.822 0.822 0.665
0.834 0.834 0.170
0.500 0.500 0.000